# 1
InGeAu2: optimized geometry, PBE.

a = 4.288 Å, b = 4.349 Å, c = 5.525 Å
α = 72.56°, β = 107.67°, γ = 112.84°
Fractional positions:
Au (0.282, 0.948, 0.505)
Ge (0.447, 0.790, 0.075)
Au (0.851, 0.383, 0.241)
In (0.697, 0.528, 0.698)

Computed properties:
Final energy ... -14.09 eV per cell
ΔE_f ... -0.04 eV per atom


# 2
Hf2Mg2Re: optimized geometry, PBE.

a = 3.863 Å, b = 3.863 Å, c = 7.290 Å
α = 74.64°, β = 74.64°, γ = 90.00°
Fractional positions:
Mg (0.588, 0.588, 0.824)
Re (0.000, 0.000, 0.000)
Mg (0.412, 0.412, 0.176)
Hf (0.750, 0.250, 0.500)
Hf (0.250, 0.750, 0.500)

Computed properties:
Final energy ... -30.53 eV per cell
ΔE_f ... 1.00 eV per atom


# 3
CaLa2Se: optimized geometry, PBE.

a = 4.112 Å, b = 5.209 Å, c = 5.570 Å
α = 90.00°, β = 90.00°, γ = 90.00°
Fractional positions:
La (0.000, 0.000, 0.000)
Ca (0.000, 0.500, 0.500)
Se (0.500, 0.000, 0.500)
La (0.500, 0.500, 0.000)

Computed properties:
Final energy ... -17.29 eV per cell
Energy relative to the elements, uncorrected ... -0.487 eV/atom


# 4
Mn6CrB2: optimized geometry, PBE.

a = 6.116 Å, b = 6.116 Å, c = 6.116 Å
α = 103.56°, β = 112.34°, γ = 112.68°
Fractional positions:
Mn (0.906, 0.711, 0.194)
Mn (0.094, 0.289, 0.806)
Mn (0.299, 0.621, 0.322)
Mn (0.299, 0.977, 0.678)
B (0.500, 0.384, 0.884)
Mn (0.800, 0.752, 0.553)
B (0.350, 0.000, 0.350)
B (0.500, 0.616, 0.116)
B (0.650, 0.000, 0.650)
Mn (0.701, 0.023, 0.322)
Cr (0.000, 0.000, 0.000)
Mn (0.200, 0.248, 0.447)
Mn (0.701, 0.379, 0.678)
Mn (0.483, 0.289, 0.194)
Mn (0.200, 0.752, 0.952)
Mn (0.517, 0.711, 0.806)
Mn (0.800, 0.248, 0.048)
Cr (0.000, 0.500, 0.500)

Computed properties:
Final energy ... -159.76 eV per cell
ΔE_f ... -0.21 eV per atom


# 5
CuSb2TeF: optimized geometry, PBE.

a = 5.065 Å, b = 5.065 Å, c = 5.036 Å
α = 90.00°, β = 90.00°, γ = 90.00°
Fractional positions:
Te (0.000, 0.000, 0.500)
Sb (0.000, 0.500, 0.000)
Cu (0.000, 0.000, 0.000)
F (0.500, 0.500, 0.500)
Sb (0.500, 0.000, 0.000)

Computed properties:
Final energy ... -16.66 eV per cell
Energy relative to the elements, uncorrected ... 0.139 eV/atom


# 6
Ca2Bi3O8: optimized geometry, PBE.

a = 5.854 Å, b = 6.807 Å, c = 6.802 Å
α = 120.02°, β = 108.50°, γ = 90.00°
Fractional positions:
Ca (0.359, 0.281, 0.562)
Bi (0.000, 0.739, 0.000)
O (0.617, 0.109, 0.757)
Bi (0.500, 0.000, 0.000)
O (0.061, 0.892, 0.784)
O (0.091, 0.399, 0.797)
O (0.617, 0.648, 0.757)
Ca (0.641, 0.719, 0.438)
Bi (0.000, 0.261, 0.000)
O (0.383, 0.891, 0.243)
O (0.909, 0.601, 0.203)
O (0.383, 0.352, 0.243)
O (0.939, 0.108, 0.216)

Computed properties:
Final energy ... -76.15 eV per cell
Energy relative to the elements, uncorrected ... -1.603 eV/atom


# 7
Sc2Ga2Pd: optimized geometry, PBE.

a = 4.215 Å, b = 5.529 Å, c = 9.039 Å
α = 80.03°, β = 76.52°, γ = 67.59°
Fractional positions:
Ga (0.861, 0.717, 0.561)
Ga (0.965, 0.182, 0.887)
Sc (0.504, 0.319, 0.673)
Ga (0.035, 0.818, 0.113)
Pd (0.779, 0.103, 0.339)
Ga (0.139, 0.283, 0.439)
Sc (0.679, 0.751, 0.891)
Sc (0.496, 0.681, 0.327)
Sc (0.321, 0.249, 0.109)
Pd (0.221, 0.897, 0.661)

Computed properties:
Final energy ... -55.12 eV per cell
ΔE_f ... -0.73 eV per atom


# 8
ZnTe2P: optimized geometry, PBE.

a = 4.990 Å, b = 4.990 Å, c = 4.990 Å
α = 60.00°, β = 60.00°, γ = 60.00°
Fractional positions:
Zn (0.500, 0.500, 0.500)
Te (0.250, 0.250, 0.250)
P (0.000, 0.000, 0.000)
Te (0.750, 0.750, 0.750)

Computed properties:
Final energy ... -11.08 eV per cell
Energy relative to the elements, uncorrected ... 0.471 eV/atom


# 9
CaSm2TiN4: optimized geometry, PBE.

a = 3.509 Å, b = 6.248 Å, c = 12.182 Å
α = 90.00°, β = 90.00°, γ = 106.31°
Fractional positions:
N (0.420, 0.839, 0.750)
Sm (0.630, 0.259, 0.037)
Sm (0.370, 0.741, 0.537)
Sm (0.370, 0.741, 0.963)
Ti (0.165, 0.329, 0.250)
N (0.580, 0.161, 0.250)
Ti (0.835, 0.671, 0.750)
N (0.740, 0.480, 0.873)
Ca (0.109, 0.218, 0.750)
N (0.260, 0.520, 0.127)
Sm (0.630, 0.259, 0.463)
N (0.000, 0.000, 0.000)
N (0.740, 0.480, 0.627)
N (0.260, 0.520, 0.373)
Ca (0.891, 0.782, 0.250)
N (0.000, 0.000, 0.500)

Computed properties:
Final energy ... -126.41 eV per cell
Energy relative to the elements, uncorrected ... -1.321 eV/atom


# 10
Tl2CrSbSe4: optimized geometry, PBE.

a = 8.398 Å, b = 8.398 Å, c = 8.152 Å
α = 119.03°, β = 119.03°, γ = 89.78°
Fractional positions:
Se (0.205, 0.691, 0.448)
Sb (0.000, 0.000, 0.000)
Tl (0.500, 0.000, 0.500)
Se (0.223, 0.277, 0.015)
Tl (0.500, 0.000, 0.000)
Tl (0.000, 0.000, 0.500)
Se (0.795, 0.309, 0.552)
Se (0.223, 0.277, 0.485)
Se (0.777, 0.723, 0.985)
Sb (0.500, 0.500, 0.500)
Tl (0.500, 0.500, 0.000)
Se (0.809, 0.295, 0.052)
Se (0.191, 0.705, 0.948)
Se (0.777, 0.723, 0.515)
Cr (0.000, 0.500, 0.500)
Cr (0.000, 0.500, 0.000)

Computed properties:
Final energy ... -70.48 eV per cell
Energy relative to the elements, uncorrected ... -0.353 eV/atom


# 11
Tl3BAu: optimized geometry, PBE.

a = 4.968 Å, b = 4.968 Å, c = 4.968 Å
α = 90.00°, β = 90.00°, γ = 90.00°
Fractional positions:
Au (0.500, 0.500, 0.500)
Tl (0.000, 0.000, 0.500)
Tl (0.000, 0.500, 0.000)
Tl (0.500, 0.000, 0.000)
B (0.000, 0.000, 0.000)

Computed properties:
Final energy ... -14.09 eV per cell
ΔE_f ... 0.59 eV per atom


# 12
Al2HgGe2: optimized geometry, PBE.

a = 8.171 Å, b = 8.171 Å, c = 2.950 Å
α = 90.00°, β = 90.00°, γ = 90.00°
Fractional positions:
Al (0.650, 0.150, 0.000)
Al (0.150, 0.350, 0.000)
Ge (0.143, 0.643, 0.500)
Hg (0.500, 0.500, 0.000)
Ge (0.857, 0.357, 0.500)
Ge (0.643, 0.857, 0.500)
Hg (0.000, 0.000, 0.000)
Al (0.850, 0.650, 0.000)
Ge (0.357, 0.143, 0.500)
Al (0.350, 0.850, 0.000)

Computed properties:
Final energy ... -32.32 eV per cell
ΔE_f ... 0.17 eV per atom


Q: Which formula does entry 1 have?
A: InGeAu2